{
  "formula": "Hg5Br11N",
  "functional": "PBE",
  "state": "optimized geometry",
  "magnetic_moment_mub_per_cell": 4.1,
  "formation_energy_uncorrected_ev_per_atom": -0.020,
  "lattice": [[-9.316, 1.589, -3.933], [-2.778, -2.362, 9.565], [-2.625, 5.955, 3.014]],
  "species": ["Br", "Br", "Br", "Br", "Hg", "Br", "Br", "Hg", "Br", "Hg", "Hg", "Hg", "N", "Br", "Br", "Br", "Br"],
  "frac_coords": [[0.399, 0.787, 0.669], [0.964, 0.694, 0.914], [0.858, 0.858, 0.378], [0.787, 0.399, 0.669], [0.000, 0.000, 0.000], [0.500, 0.500, 0.500], [0.694, 0.964, 0.914], [0.878, 0.551, 0.293], [0.213, 0.601, 0.331], [0.122, 0.449, 0.707], [0.551, 0.878, 0.293], [0.449, 0.122, 0.707], [0.500, 0.500, 0.000], [0.601, 0.213, 0.331], [0.036, 0.306, 0.086], [0.306, 0.036, 0.086], [0.142, 0.142, 0.622]]
}